[1]
Ta2BeB2Os5, relaxed, DFT PBE; crystal system = tetragonal; formation enthalpy at 0 K = -368.6 kJ/mol of formula units
1.0
9.2200 0.0000 0.0000
0.0000 9.2200 0.0000
0.0000 0.0000 2.9862
Ta Be B Os
4 2 4 10
Direct
0.1780 0.3220 0.0000
0.3220 0.8220 0.0000
0.6780 0.1780 0.0000
0.8220 0.6780 0.0000
0.0000 0.0000 0.0000
0.5000 0.5000 0.0000
0.1279 0.6279 0.0000
0.3721 0.1279 0.0000
0.6279 0.8721 0.0000
0.8721 0.3721 0.0000
0.0000 0.5000 0.5000
0.0663 0.7920 0.5000
0.2080 0.0663 0.5000
0.2920 0.5663 0.5000
0.4337 0.2920 0.5000
0.5000 0.0000 0.5000
0.5663 0.7080 0.5000
0.7080 0.4337 0.5000
0.7920 0.9337 0.5000
0.9337 0.2080 0.5000


[2]
TbBe2BOs, relaxed, DFT PBE; crystal system = orthorhombic; formation enthalpy at 0 K = -112.9 kJ/mol of formula units
1.0
-1.7625 1.7917 5.1853
1.7625 -1.7917 5.1853
1.7625 1.7917 -5.1853
Tb Be B Os
1 2 1 1
Direct
0.0000 0.0000 0.0000
0.6298 0.6298 0.0000
0.7656 0.2656 0.5000
0.3803 0.3803 0.0000
0.2642 0.7642 0.5000


[3]
TiBeB2Os, relaxed, DFT PBE; crystal system = tetragonal; formation enthalpy at 0 K = 511.2 kJ/mol of formula units
1.0
3.6346 0.0000 0.0000
0.0000 3.6346 0.0000
0.0000 0.0000 4.0982
Ti Be B Os
1 1 2 1
Direct
0.0000 0.0000 0.0000
0.0000 0.0000 0.5000
0.0000 0.5000 0.5000
0.5000 0.0000 0.5000
0.5000 0.5000 0.0000


[4]
BeB2P, relaxed, DFT PBE; crystal system = tetragonal; E above lowest polymorph = 0.0 meV per atom; formation enthalpy at 0 K = 234.8 kJ/mol of formula units
1.0
-2.3681 2.3681 4.0770
2.3681 -2.3681 4.0770
2.3681 2.3681 -4.0770
Be B P
2 4 2
Direct
0.0000 0.0000 0.0000
0.7500 0.2500 0.5000
0.1407 0.6250 0.0157
0.3750 0.3907 0.5157
0.6093 0.1250 0.9843
0.8750 0.8593 0.4843
0.2500 0.7500 0.5000
0.5000 0.5000 0.0000